The following is a DFT calculation (PBE) of a geometry-optimized TlCrIr2 structure.

Geometry as POSCAR:
```
TlCrIr2
1.0
1.436 0.829 9.032
-1.436 0.829 9.032
0.000 -1.658 9.032
Tl Cr Ir
1 1 2
direct
0.000 0.000 0.000
0.500 0.500 0.500
0.238 0.238 0.238
0.762 0.762 0.762
```

Results
* mass density: 16.50 g/cm3
* space-group type: R-3m (166)
* N(E_F): 3.05 states/eV/cell
* energy of formation from the pure elements: 0.35 eV per atom
* relative energy among the computed polymorphs: 153.7 meV/atom
* V: 64 Å³ per cell